Here is a geometry-optimized La2Cd6Hg3 structure from the Alexandria database. Energies are from PBE.

For the spin magnetization, the calculation gives 0.0 μB per formula unit. As for the final energy: -18.9 eV for the cell shown.

It has space group P-62m (No. 189), with a = 8.4647 Å, b = 8.4647 Å, c = 4.6334 Å, α = 90.00°, β = 90.00° and γ = 120.00°. The inequivalent atoms are La at (0.3333, 0.6667, 0.0000), Cd at (0.0000, 0.2658, 0.5000), Cd at (0.0000, 0.7994, 0.0000) and Hg at (0.0000, 0.5947, 0.5000).



Here is a geometry-optimized MgWBr2 structure from the Alexandria database. Energies are from PBE.

For the spin magnetization, the calculation gives 0.0 μB per formula unit. For the uncorrected formation energy, the calculation gives 0.3324 eV per atom. Its energy relative to the lowest polymorph listed for this composition is 375.4 meV/atom.

It has space group R-3m (No. 166, hexagonal axes), with a = 3.2569 Å, b = 3.2569 Å, c = 30.6415 Å, α = 90.00°, β = 90.00° and γ = 120.00°. The inequivalent atoms are Mg at (0.0000, 0.0000, 0.0000), W at (0.0000, 0.0000, 0.5000) and Br at (0.0000, 0.0000, 0.1058).



Here is a geometry-optimized TbY2Er2Sc structure from the Alexandria database. Energies are from PBE.

For the spin magnetization, the calculation gives 0.0 μB per formula unit. As for the final energy: -62.8 eV for the cell shown.

It has space group Pnnm (No. 58), with a = 6.465 Å, b = 17.362 Å, c = 3.322 Å, α = 90.00°, β = 90.00° and γ = 90.00°. The inequivalent atoms are Tb at (0.000, 0.000, 0.000), Y at (0.245, 0.317, 0.000), Er at (0.245, 0.145, 0.500) and Sc at (0.000, 0.500, 0.000).



Here is a geometry-optimized K2CuTc structure from the Alexandria database. Energies are from PBE.

For the spin magnetization, the calculation gives 2.8 μB per formula unit. Its energy relative to the lowest polymorph listed for this composition is 479.7 meV/atom.

It has space group Cmmm (No. 65), with a = 6.027 Å, b = 10.638 Å, c = 3.205 Å, α = 90.00°, β = 90.00° and γ = 90.00°. The inequivalent atoms are K at (0.250, 0.250, 0.000), Cu at (0.000, 0.000, 0.500) and Tc at (0.000, 0.500, 0.500).



Here is a geometry-optimized Ac5Ce2Ru4 structure from the Alexandria database. Energies are from PBE.

For the spin magnetization, the calculation gives 0.0 μB per formula unit. As for the final energy: -142.1 eV for the cell shown.

It has space group Immm (No. 71), with a = 4.218 Å, b = 8.025 Å, c = 19.799 Å, α = 90.00°, β = 90.00° and γ = 90.00°. The inequivalent atoms are Ac at (0.000, 0.000, 0.000), Ac at (0.000, 0.269, 0.332), Ce at (0.000, 0.500, 0.071), Ru at (0.000, 0.198, 0.500) and Ru at (0.000, 0.500, 0.194).



Here is a geometry-optimized Tb2ThPd structure from the Alexandria database. Energies are from PBE.

For the spin magnetization, the calculation gives 0.0 μB per formula unit. Its energy relative to the lowest polymorph listed for this composition is 457.2 meV/atom.

It has space group R-3m (No. 166, hexagonal axes), with a = 3.4585 Å, b = 3.4585 Å, c = 32.9653 Å, α = 90.00°, β = 90.00° and γ = 120.00°. The inequivalent atoms are Tb at (0.0000, 0.0000, 0.0796), Th at (0.0000, 0.0000, 0.5000) and Pd at (0.0000, 0.0000, 0.0000).



Here is a geometry-optimized CuAg5Br2Cl4 structure from the Alexandria database. Energies are from PBE.

For the spin magnetization, the calculation gives 0.2 μB per formula unit. For the uncorrected formation energy, the calculation gives -0.3746 eV per atom.

It has space group Amm2 (No. 38), with a = 7.882 Å, b = 11.841 Å, c = 6.535 Å, α = 90.00°, β = 90.00° and γ = 90.00°. The inequivalent atoms are Cu at (0.000, 0.000, 0.000), Ag at (0.238, 0.197, 0.418), Ag at (0.500, 0.000, 0.971), Br at (0.500, 0.170, 0.687), Cl at (0.000, 0.165, 0.806) and Cl at (0.236, 0.000, 0.218).



Here is a geometry-optimized NpSeI3 structure from the Alexandria database. Energies are from PBE.

For the spin magnetization, the calculation gives 3.0 μB per formula unit. For the uncorrected formation energy, the calculation gives -0.7121 eV per atom.

It has space group C2/c (No. 15), with a = 8.191 Å, b = 15.118 Å, c = 15.234 Å, α = 90.00°, β = 96.21° and γ = 90.00°. The inequivalent atoms are Np at (0.077, 0.050, 0.140), Se at (0.135, 0.178, 0.284), I at (0.121, 0.376, 0.914), I at (0.124, 0.118, 0.529) and I at (0.230, 0.055, 0.801).